# LiCuHg2W | Alexandria via LeMat-Bulk | meta-GGA SCAN | PBEsol geometry
data_LiCuHg2W
_chemical_formula_sum 'Li1 Cu1 Hg2 W1'
_cell_length_a 4.833
_cell_length_b 4.833
_cell_length_c 4.655
_cell_angle_alpha 90.00
_cell_angle_beta 90.00
_cell_angle_gamma 90.00
_symmetry_space_group_name_H-M 'P 4/m m m'
_symmetry_Int_Tables_number 123
_symmetry_space_group_name_Hall '-P 4 2'
loop_
_atom_site_label
_atom_site_fract_x
_atom_site_fract_y
_atom_site_fract_z
Li1 0.000 0.000 0.000
Cu1 0.500 0.500 0.500
Hg1 0.000 0.500 0.500
W1 0.500 0.500 0.000
# - Total magnetic moment: 2.301 μB per cell
# - Energy: -218.2 eV per formula unit
# - Crystal system: tetragonal
# - DOS(E_F): 0.621 states/eV per atom

***

# MgCu2Hg | Alexandria via LeMat-Bulk | meta-GGA SCAN | PBEsol geometry
data_MgCu2Hg
_chemical_formula_sum 'Mg2 Cu4 Hg2'
_cell_length_a 4.139
_cell_length_b 4.139
_cell_length_c 7.009
_cell_angle_alpha 90.00
_cell_angle_beta 90.00
_cell_angle_gamma 90.00
_symmetry_space_group_name_H-M 'I 4/m m m'
_symmetry_Int_Tables_number 139
_symmetry_space_group_name_Hall '-I 4 2'
loop_
_atom_site_label
_atom_site_fract_x
_atom_site_fract_y
_atom_site_fract_z
Mg1 0.000 0.000 0.000
Cu1 0.000 0.500 0.250
Hg1 0.000 0.000 0.500
# - Total magnetic moment: 0.000 μB per cell
# - Energy: -103.8 eV per formula unit
# - Crystal system: tetragonal
# - DOS(E_F): 0.311 states/eV per atom

***

# Mg2CuHg | Alexandria via LeMat-Bulk | meta-GGA SCAN | PBEsol geometry
data_Mg2CuHg
_chemical_formula_sum 'Mg4 Cu2 Hg2'
_cell_length_a 6.445
_cell_length_b 6.465
_cell_length_c 3.364
_cell_angle_alpha 90.00
_cell_angle_beta 90.00
_cell_angle_gamma 90.00
_symmetry_space_group_name_H-M 'C m m m'
_symmetry_Int_Tables_number 65
_symmetry_space_group_name_Hall '-C 2 2'
loop_
_atom_site_label
_atom_site_fract_x
_atom_site_fract_y
_atom_site_fract_z
Mg1 0.250 0.250 0.000
Cu1 0.000 0.000 0.500
Hg1 0.000 0.500 0.500
# - Total magnetic moment: 0.000 μB per cell
# - Energy: -94.2 eV per formula unit
# - Crystal system: orthorhombic
# - DOS(E_F): 0.255 states/eV per atom

***

Question: What is the formula in the second record?
Answer: MgCu2Hg

***

Question: Number 2 is which compound?
Answer: MgCu2Hg

***

What did the second record say?
# MgCu2Hg | Alexandria via LeMat-Bulk | meta-GGA SCAN | PBEsol geometry
data_MgCu2Hg
_chemical_formula_sum 'Mg2 Cu4 Hg2'
_cell_length_a 4.139
_cell_length_b 4.139
_cell_length_c 7.009
_cell_angle_alpha 90.00
_cell_angle_beta 90.00
_cell_angle_gamma 90.00
_symmetry_space_group_name_H-M 'I 4/m m m'
_symmetry_Int_Tables_number 139
_symmetry_space_group_name_Hall '-I 4 2'
loop_
_atom_site_label
_atom_site_fract_x
_atom_site_fract_y
_atom_site_fract_z
Mg1 0.000 0.000 0.000
Cu1 0.000 0.500 0.250
Hg1 0.000 0.000 0.500
# - Total magnetic moment: 0.000 μB per cell
# - Energy: -103.8 eV per formula unit
# - Crystal system: tetragonal
# - DOS(E_F): 0.311 states/eV per atom